A relaxed structure of Na3SnPb2S6, computed with PBE.

Structure (extended XYZ):
```
12
Lattice="3.4984 -6.0592 0.0000 3.4984 6.0592 0.0000 -2.3660 0.0000 6.7590" Properties=species:S:1:pos:R:3 pbc="T T T"
Na 0.0000 0.0000 0.0000
Na 3.4984 2.0389 0.0000
Na 3.4984 -2.0389 0.0000
Sn 2.3154 0.0000 3.3795
Pb 2.3154 4.0403 3.3795
Pb 2.3154 -4.0403 3.3795
S 1.2693 1.8201 1.8015
S 0.2299 0.0000 4.9165
S 1.2693 -1.8201 1.8015
S 3.3616 1.8201 4.9575
S 4.4010 0.0000 1.8425
S 3.3616 -1.8201 4.9575
```

Uncorrected formation energy (eV/atom): -0.704
Symmetry: No. 12
DOS(E_F) (states/eV/cell): 5.9
Spin magnetization (μB per cell): 0.000